## 1
KCrIr2 after structural relaxation. Source: the Alexandria database, functional PBE-GGA.

Cell lengths 5.587, 5.587, 6.357 Å; angles 76.67, 76.67, 28.44 degrees
Fractional coordinates of all 4 atoms:
Cr 0.310 0.310 0.066
Ir 0.699 0.699 0.853
Ir 0.001 0.001 0.048
K 0.490 0.490 0.533

Summary:
* D(E_F): 2.2 states/eV/cell
* space group: Cm

## 2
KCrIr2 after structural relaxation. Source: the Alexandria database, functional PBE-GGA.

Cell lengths 4.447, 3.981, 3.981 Å; angles 90.00, 90.00, 90.00 degrees
Fractional coordinates of all 4 atoms:
Ir 0.000 0.000 0.000
Ir 0.000 0.500 0.500
Cr 0.500 0.000 0.500
K 0.500 0.500 0.000

Summary:
* D(E_F): 3.9 states/eV/cell
* space group: P4/mmm

Pick the least stable structure from those above. Pick: 2